# 1
Entry from Alexandria via LeMat-Bulk: a relaxed CsKTlPb crystal (PBE-GGA).

Output
- Formation energy: -70.9 meV/atom
- Energy above the most stable polymorph in this dataset: 12.1 meV/atom
- Uncorrected energy: -2.077 eV/atom

a b c (Å): 8.5618 8.5618 8.5618
angles (deg): 90.00 90.00 90.00
Last column: nearest neighbours and their distance in Å.
Space group F-43m (No. 216)
Symmetry-distinct sites (fractional):
Cs 0.0000 0.0000 0.0000  4 Tl 3.71, 4 K 3.71
K 0.2500 0.2500 0.2500  4 Cs 3.71, 4 Pb 3.71
Tl 0.2500 0.2500 0.7500  4 Pb 3.71, 4 Cs 3.71
Pb 0.0000 0.0000 0.5000  4 K 3.71, 4 Tl 3.71

# 2
Entry from Alexandria via LeMat-Bulk: a relaxed Cs2K4TlPb2 crystal (PBE-GGA).

Output
- Formation energy: -84.6 meV/atom
- Uncorrected energy: -1.849 eV/atom

a b c (Å): 16.3874 9.1622 6.3833
angles (deg): 90.00 107.41 90.00
Last column: nearest neighbours and their distance in Å.
Space group C2/m (No. 12)
Symmetry-distinct sites (fractional):
Cs 0.1392 0.0000 0.1775  6 K 4.07-4.14, 2 Pb 4.09-4.34, 1 Cs 4.45
K 0.1331 0.2854 0.6707  3 Pb 3.82-3.87, 2 K 3.93-4.25, 1 Tl 3.97, 3 Cs 4.07-4.14
Tl 0.0000 0.5000 0.0000  2 Pb 2.93
Pb 0.1850 0.5000 0.2139  1 Tl 2.93

# 3
Entry from Alexandria via LeMat-Bulk: a relaxed CsKTl2Pb crystal (PBE-GGA).

Output
- Formation energy: 63.0 meV/atom
- Uncorrected energy: -2.015 eV/atom

a b c (Å): 6.1931 6.1931 6.6473
angles (deg): 90.00 90.00 90.00
Last column: nearest neighbours and their distance in Å.
Space group P4/mmm (No. 123)
Symmetry-distinct sites (fractional):
Cs 0.0000 0.0000 0.0000  4 K 4.38, 8 Tl 4.54
K 0.5000 0.5000 0.0000  2 Pb 3.32
Tl 0.0000 0.5000 0.5000  2 Pb 3.10
Pb 0.5000 0.5000 0.5000  4 Tl 3.10, 2 K 3.32

# 4
Entry from Alexandria via LeMat-Bulk: a relaxed CsK2TlPb crystal (PBE-GGA).

Output
- Formation energy: 0.2 meV/atom
- Energy above the most stable polymorph in this dataset: 10.4 meV/atom
- Uncorrected energy: -1.824 eV/atom

a b c (Å): 6.8527 6.8527 5.9959
angles (deg): 90.00 90.00 90.00
Last column: nearest neighbours and their distance in Å.
Space group P4/mmm (No. 123)
Symmetry-distinct sites (fractional):
Cs 0.0000 0.0000 0.0000  8 K 4.55, 4 Pb 4.85
K 0.0000 0.5000 0.5000  2 Tl 3.43
Tl 0.5000 0.5000 0.5000  2 Pb 3.00
Pb 0.5000 0.5000 0.0000  2 Tl 3.00

# 5
Entry from Alexandria via LeMat-Bulk: a relaxed CsKYPb2 crystal (PBE-GGA).

Output
- Formation energy: 100.8 meV/atom
- Uncorrected energy: -3.066 eV/atom

a b c (Å): 6.0229 6.0229 6.6929
angles (deg): 90.00 90.00 90.00
Last column: nearest neighbours and their distance in Å.
Space group P4/mmm (No. 123)
Symmetry-distinct sites (fractional):
Cs 0.0000 0.0000 0.0000  4 K 4.26, 8 Pb 4.50
K 0.5000 0.5000 0.0000  2 Y 3.35
Y 0.5000 0.5000 0.5000  4 Pb 3.01, 2 K 3.35
Pb 0.0000 0.5000 0.5000  2 Y 3.01

# 6
Entry from Alexandria via LeMat-Bulk: a relaxed CsK2ZnPb crystal (PBE-GGA).

Output
- Formation energy: 61.6 meV/atom
- Energy above the most stable polymorph in this dataset: 27.0 meV/atom
- Uncorrected energy: -1.545 eV/atom

a b c (Å): 7.0755 7.0755 5.4260
angles (deg): 90.00 90.00 90.00
Last column: nearest neighbours and their distance in Å.
Space group P4/mmm (No. 123)
Symmetry-distinct sites (fractional):
Cs 0.0000 0.0000 0.0000  8 K 4.46
K 0.0000 0.5000 0.5000  2 Pb 3.54
Zn 0.5000 0.5000 0.0000  2 Pb 2.71
Pb 0.5000 0.5000 0.5000  2 Zn 2.71

# 7
Entry from Alexandria via LeMat-Bulk: a relaxed Cs4K2ZnPb2 crystal (PBE-GGA).

Output
- Formation energy: -22.5 meV/atom
- Uncorrected energy: -1.611 eV/atom

a b c (Å): 16.2185 8.4760 7.4674
angles (deg): 90.00 106.36 90.00
Last column: nearest neighbours and their distance in Å.
Space group C2/m (No. 12)
Symmetry-distinct sites (fractional):
Cs 0.1161 0.2418 0.2498  1 Zn 3.64
K 0.1666 0.5000 0.8049  1 Pb 3.68
Zn 0.0000 0.0000 0.5000  2 Pb 2.72
Pb 0.1562 0.0000 0.7600  1 Zn 2.72

# 8
Entry from Alexandria via LeMat-Bulk: a relaxed Cs2K4ZnPb2 crystal (PBE-GGA).

Output
- Formation energy: -57.5 meV/atom
- Uncorrected energy: -1.701 eV/atom

a b c (Å): 14.7906 9.0867 6.6143
angles (deg): 90.00 101.99 90.00
Last column: nearest neighbours and their distance in Å.
Space group C2/m (No. 12)
Symmetry-distinct sites (fractional):
Cs 0.1371 0.0000 0.2276  6 K 3.94-4.24, 1 Pb 4.01
K 0.1273 0.2860 0.7179  1 Zn 3.50, 3 Pb 3.87-3.91, 1 K 3.89
Zn 0.0000 0.5000 0.0000  2 Pb 2.72
Pb 0.1727 0.5000 0.2429  1 Zn 2.72

Among the records above, which one has the lowest formation energy? Cs2K4TlPb2